Li8Ni: relaxed, PBE.

Cell and atoms, written as POSCAR:
```
Li8Ni
1.0
-4.9490 4.9490 1.5643
4.9490 -4.9490 1.5643
4.9490 4.9490 -1.5643
Li Ni
8 1
direct
0.0000 0.3297 0.3297
0.0000 0.6703 0.6703
0.3297 0.0000 0.3297
0.3501 0.3501 0.7001
0.3501 0.6499 0.0000
0.6499 0.3501 0.0000
0.6499 0.6499 0.2999
0.6703 0.0000 0.6703
0.0000 0.0000 0.0000
```

Computed properties:
density = 1.24 Mg/m³
E_tot = -20.6 eV/cell
total magnetic moment = 0.0 μB per cell



Cs4Na3NpF12: relaxed, PBE.

Cell and atoms, written as POSCAR:
```
Cs4Na3NpF12
1.0
-4.6265 4.6265 4.6265
4.6265 -4.6265 4.6265
4.6265 4.6265 -4.6265
Cs Na Np F
4 3 1 12
direct
0.0000 0.0000 0.5000
0.0000 0.5000 0.0000
0.5000 0.0000 0.0000
0.5000 0.5000 0.5000
0.0000 0.5000 0.5000
0.5000 0.0000 0.5000
0.5000 0.5000 0.0000
0.0000 0.0000 0.0000
0.0000 0.2263 0.2263
0.0000 0.7737 0.7737
0.2263 0.0000 0.2263
0.2263 0.2263 0.0000
0.2500 0.5000 0.7500
0.2500 0.7500 0.5000
0.5000 0.2500 0.7500
0.5000 0.7500 0.2500
0.7500 0.2500 0.5000
0.7500 0.5000 0.2500
0.7737 0.0000 0.7737
0.7737 0.7737 0.0000
```

Computed properties:
density = 4.47 Mg/m³
energy relative to the elements, uncorrected = -56.726 eV/f.u.
E_tot = -99.5 eV/cell
total magnetic moment = 3.0 μB per cell



Li3Fe: relaxed, PBE.

Cell and atoms, written as POSCAR:
```
Li3Fe
1.0
2.6557 0.0000 0.0000
-1.3279 2.2999 0.0000
0.0000 0.0000 9.7204
Li Fe
3 1
direct
0.0000 0.0000 0.0000
0.6667 0.3333 0.2703
0.6667 0.3333 0.7297
0.0000 0.0000 0.5000
```

Computed properties:
density = 2.14 Mg/m³
E_tot = -13.4 eV/cell
total magnetic moment = 2.4 μB per cell



AcMg4In2: relaxed, PBE.

Cell and atoms, written as POSCAR:
```
AcMg4In2
1.0
8.8561 0.0000 0.0000
0.0000 8.8561 0.0000
0.0000 0.0000 4.7596
Ac Mg In
2 8 4
direct
0.0000 0.0000 0.0000
0.5000 0.5000 0.5000
0.0931 0.3436 0.5000
0.1564 0.5931 0.0000
0.3436 0.0931 0.5000
0.4069 0.8436 0.0000
0.5931 0.1564 0.0000
0.6564 0.9069 0.5000
0.8436 0.4069 0.0000
0.9069 0.6564 0.5000
0.2118 0.7882 0.5000
0.2882 0.2882 0.0000
0.7118 0.7118 0.0000
0.7882 0.2118 0.5000
```

Computed properties:
density = 4.93 Mg/m³
E_tot = -35.1 eV/cell
total magnetic moment = 0.0 μB per cell



CrRu2Cl: relaxed, PBE.

Cell and atoms, written as POSCAR:
```
CrRu2Cl
1.0
2.8564 0.0000 0.0000
0.0000 3.9584 0.0000
-1.2703 0.0000 4.9701
Cr Ru Cl
1 2 1
direct
0.0000 0.0000 0.0000
0.3572 0.5000 0.7442
0.6428 0.5000 0.2558
0.0000 0.0000 0.5000
```

Computed properties:
density = 8.56 Mg/m³
energy relative to the elements, uncorrected = 2.223 eV/f.u.
E_tot = -27.8 eV/cell
total magnetic moment = 1.5 μB per cell



YTi2Hg2: relaxed, PBE.

Cell and atoms, written as POSCAR:
```
YTi2Hg2
1.0
8.2792 0.0000 0.0000
0.0000 8.2792 0.0000
0.0000 0.0000 3.1065
Y Ti Hg
2 4 4
direct
0.0000 0.0000 0.0000
0.5000 0.5000 0.0000
0.1116 0.3884 0.0000
0.3884 0.8884 0.0000
0.6116 0.1116 0.0000
0.8884 0.6116 0.0000
0.1825 0.6825 0.5000
0.3175 0.1825 0.5000
0.6825 0.8175 0.5000
0.8175 0.3175 0.5000
```

Computed properties:
density = 9.14 Mg/m³
E_tot = -46.0 eV/cell
total magnetic moment = 4.9 μB per cell